# In2SbS | Alexandria via LeMat-Bulk | PBE-GGA | relaxed
data_In2SbS
_symmetry_space_group_name_H-M 'R 3 m'
_symmetry_Int_Tables_number 160
_symmetry_space_group_name_Hall 'R 3 -2"'
_cell_length_a 4.6609
_cell_length_b 4.6609
_cell_length_c 21.3411
_cell_angle_alpha 90.00
_cell_angle_beta 90.00
_cell_angle_gamma 120.00
loop_
_atom_site_label
_atom_site_type_symbol
_atom_site_fract_x
_atom_site_fract_y
_atom_site_fract_z
_atom_site_occupancy
In1 In 0.0000 0.0000 0.0000 1
In2 In 0.0000 0.0000 0.4838 1
Sb1 Sb 0.0000 0.0000 0.8613 1
S1 S 0.0000 0.0000 0.3620 1
# Crystal system ... trigonal
# Total magnetic moment ... 0.0 μB/cell
# N(E_F) ... 0.4198 states/eV per atom
# Uncorrected formation energy ... -0.1877 eV per atom

# In3SbS | Alexandria via LeMat-Bulk | PBE-GGA | relaxed
data_In3SbS
_symmetry_space_group_name_H-M 'P m -3 m'
_symmetry_Int_Tables_number 221
_symmetry_space_group_name_Hall '-P 4 2 3'
_cell_length_a 5.321
_cell_length_b 5.321
_cell_length_c 5.321
_cell_angle_alpha 90.00
_cell_angle_beta 90.00
_cell_angle_gamma 90.00
loop_
_atom_site_label
_atom_site_type_symbol
_atom_site_fract_x
_atom_site_fract_y
_atom_site_fract_z
_atom_site_occupancy
In1 In 0.000 0.000 0.500 1
Sb1 Sb 0.500 0.500 0.500 1
S1 S 0.000 0.000 0.000 1
# Crystal system ... cubic
# Total magnetic moment ... 0.0 μB/cell
# N(E_F) ... 0.6340 states/eV per atom
# Uncorrected formation energy ... 0.1927 eV per atom

# InSbS3 | Alexandria via LeMat-Bulk | PBE-GGA | relaxed
data_InSbS3
_symmetry_space_group_name_H-M 'P m -3 m'
_symmetry_Int_Tables_number 221
_symmetry_space_group_name_Hall '-P 4 2 3'
_cell_length_a 5.035
_cell_length_b 5.035
_cell_length_c 5.035
_cell_angle_alpha 90.00
_cell_angle_beta 90.00
_cell_angle_gamma 90.00
loop_
_atom_site_label
_atom_site_type_symbol
_atom_site_fract_x
_atom_site_fract_y
_atom_site_fract_z
_atom_site_occupancy
In1 In 0.000 0.000 0.000 1
Sb1 Sb 0.500 0.500 0.500 1
S1 S 0.000 0.500 0.500 1
# Crystal system ... cubic
# Total magnetic moment ... 0.0 μB/cell
# N(E_F) ... 0.6886 states/eV per atom
# Uncorrected formation energy ... 0.1515 eV per atom

# In2SbS6 | Alexandria via LeMat-Bulk | PBE-GGA | relaxed
data_In2SbS6
_symmetry_space_group_name_H-M 'P 42/m n m'
_symmetry_Int_Tables_number 136
_symmetry_space_group_name_Hall '-P 4n 2n'
_cell_length_a 6.164
_cell_length_b 6.164
_cell_length_c 11.553
_cell_angle_alpha 90.00
_cell_angle_beta 90.00
_cell_angle_gamma 90.00
loop_
_atom_site_label
_atom_site_type_symbol
_atom_site_fract_x
_atom_site_fract_y
_atom_site_fract_z
_atom_site_occupancy
In1 In 0.000 0.000 0.167 1
Sb1 Sb 0.000 0.000 0.500 1
S1 S 0.191 0.191 0.337 1
S2 S 0.200 0.200 0.000 1
# Crystal system ... tetragonal
# Total magnetic moment ... 0.0 μB/cell
# N(E_F) ... 0.7572 states/eV per atom
# Uncorrected formation energy ... -0.0872 eV per atom

# InSb2S2 | Alexandria via LeMat-Bulk | PBE-GGA | relaxed
data_InSb2S2
_symmetry_space_group_name_H-M 'I 4/m m m'
_symmetry_Int_Tables_number 139
_symmetry_space_group_name_Hall '-I 4 2'
_cell_length_a 5.429
_cell_length_b 5.429
_cell_length_c 9.510
_cell_angle_alpha 90.00
_cell_angle_beta 90.00
_cell_angle_gamma 90.00
loop_
_atom_site_label
_atom_site_type_symbol
_atom_site_fract_x
_atom_site_fract_y
_atom_site_fract_z
_atom_site_occupancy
In1 In 0.000 0.000 0.000 1
Sb1 Sb 0.000 0.000 0.319 1
S1 S 0.000 0.500 0.250 1
# Crystal system ... tetragonal
# Total magnetic moment ... 0.0 μB/cell
# N(E_F) ... 0.4449 states/eV per atom
# Uncorrected formation energy ... 0.0298 eV per atom

# InSbS3 | Alexandria via LeMat-Bulk | PBE-GGA | relaxed
data_InSbS3
_symmetry_space_group_name_H-M 'P n m a'
_symmetry_Int_Tables_number 62
_symmetry_space_group_name_Hall '-P 2ac 2n'
_cell_length_a 9.502
_cell_length_b 3.891
_cell_length_c 13.559
_cell_angle_alpha 90.00
_cell_angle_beta 90.00
_cell_angle_gamma 90.00
loop_
_atom_site_label
_atom_site_type_symbol
_atom_site_fract_x
_atom_site_fract_y
_atom_site_fract_z
_atom_site_occupancy
In1 In 0.147 0.250 0.045 1
Sb1 Sb 0.027 0.250 0.641 1
S1 S 0.002 0.250 0.884 1
S2 S 0.159 0.250 0.480 1
S3 S 0.187 0.750 0.700 1
# Crystal system ... orthorhombic
# Total magnetic moment ... 0.0 μB/cell
# Uncorrected formation energy ... -0.4059 eV per atom